Entry 1:
Material: ScAgSe4
Method: DFT, PBE-GGA
State: optimized geometry Values from VASP.

## Properties
Formation energy without anion corrections, meV/atom: 219
Volume, Å³/cell: 131
Space-group type: F-43m (216)
Energy relative to the lowest polymorph listed for this composition, meV/atom: 849.4

```
&SYSTEM
  ibrav = 0, nat = 6, ntyp = 3
/
ATOMIC_SPECIES
Sc 44.96 Sc.upf
Ag 107.87 Ag.upf
Se 78.96 Se.upf
CELL_PARAMETERS angstrom
0.0000 4.0264 4.0264
4.0264 0.0000 4.0264
4.0264 4.0264 0.0000
ATOMIC_POSITIONS crystal
Sc 0.0000 0.0000 0.0000
Ag 0.2500 0.2500 0.2500
Se 0.1259 0.6247 0.6247
Se 0.6247 0.1259 0.6247
Se 0.6247 0.6247 0.1259
Se 0.6247 0.6247 0.6247
```


Entry 2:
Material: PmDyHoTm3
Method: DFT, PBE-GGA
State: optimized geometry Values from VASP.

## Properties
Energy of formation, kJ/mol of formula units: 14
Volume, Å³/cell: 373
Space-group type: Cmcm (63)

```
&SYSTEM
  ibrav = 0, nat = 12, ntyp = 4
/
ATOMIC_SPECIES
Pm 145.00 Pm.upf
Dy 162.50 Dy.upf
Ho 164.93 Ho.upf
Tm 168.93 Tm.upf
CELL_PARAMETERS angstrom
2.4948 -7.4874 0.0000
2.4948 7.4874 0.0000
0.0000 0.0000 9.9834
ATOMIC_POSITIONS crystal
Pm 0.9996 0.0004 0.2500
Pm 0.0004 0.9996 0.7500
Dy 0.3319 0.6681 0.7500
Dy 0.6681 0.3319 0.2500
Ho 0.5000 0.5000 0.0000
Ho 0.5000 0.5000 0.5000
Tm 0.1674 0.8326 0.0002
Tm 0.1674 0.8326 0.4998
Tm 0.3322 0.6678 0.2500
Tm 0.6678 0.3322 0.7500
Tm 0.8326 0.1674 0.9998
Tm 0.8326 0.1674 0.5002
```


Entry 3:
Material: NaSr2Cd7
Method: DFT, PBE-GGA
State: optimized geometry Values from VASP.

## Properties
Energy of formation, kJ/mol of formula units: -216
Volume, Å³/cell: 284
Space-group type: P-4m2 (115)

```
&SYSTEM
  ibrav = 0, nat = 10, ntyp = 3
/
ATOMIC_SPECIES
Na 22.99 Na.upf
Sr 87.62 Sr.upf
Cd 112.41 Cd.upf
CELL_PARAMETERS angstrom
4.6222 0.0000 0.0000
0.0000 4.6222 0.0000
0.0000 0.0000 13.3088
ATOMIC_POSITIONS crystal
Na 0.0000 0.0000 0.0000
Sr 0.0000 0.5000 0.7352
Sr 0.5000 0.0000 0.2648
Cd 0.0000 0.0000 0.5000
Cd 0.0000 0.5000 0.1485
Cd 0.0000 0.5000 0.3623
Cd 0.5000 0.0000 0.6377
Cd 0.5000 0.0000 0.8515
Cd 0.5000 0.5000 0.0000
Cd 0.5000 0.5000 0.5000
```


Entry 4:
Material: NbSbPd2
Method: DFT, PBE-GGA
State: optimized geometry Values from VASP.

## Properties
Formation energy without anion corrections, meV/atom: -13
Volume, Å³/cell: 153
Space-group type: I-42d (122)

```
&SYSTEM
  ibrav = 0, nat = 8, ntyp = 3
/
ATOMIC_SPECIES
Nb 92.91 Nb.upf
Sb 121.76 Sb.upf
Pd 106.42 Pd.upf
CELL_PARAMETERS angstrom
-2.0055 2.0055 9.4986
2.0055 -2.0055 9.4986
2.0055 2.0055 -9.4986
ATOMIC_POSITIONS crystal
Nb 0.0000 0.0000 0.0000
Nb 0.7500 0.2500 0.5000
Sb 0.2500 0.7500 0.5000
Sb 0.5000 0.5000 0.0000
Pd 0.1228 0.6250 0.9978
Pd 0.3750 0.3728 0.4978
Pd 0.6272 0.1250 0.0022
Pd 0.8750 0.8772 0.5022
```